A geometry-optimized MgAu structure. Source: the Open Quantum Materials Database, functional GGA-PBE.

Unit cell a=5.271 b=8.712 c=4.740 alpha=90.00 beta=90.00 gamma=90.00
Fractional positions:
Mg  0.539  0.514  0.000
Mg  0.838  0.833  0.500
Mg  0.974  0.298  0.000
Mg  0.338  0.334  0.500
Mg  0.039  0.653  0.000
Mg  0.474  0.869  0.000
Au  0.464  0.200  0.000
Au  0.323  0.004  0.500
Au  0.823  0.163  0.500
Au  0.964  0.967  0.000
Au  0.363  0.667  0.500
Au  0.863  0.500  0.500

Summary:
The value obtained for the final energy is -34.55 eV/cell.

***

A geometry-optimized Na4Mg2HgGe structure. Source: the Open Quantum Materials Database, functional GGA-PBE.

Unit cell a=4.983 b=4.983 c=7.515 alpha=90.00 beta=90.00 gamma=90.00
Fractional positions:
Na  0.500  0.500  0.000
Na  0.000  0.000  0.500
Na  0.000  0.500  0.757
Na  0.500  0.000  0.243
Mg  0.000  0.500  0.238
Mg  0.500  0.000  0.762
Ge  0.000  0.000  0.000
Hg  0.500  0.500  0.500

Summary:
The value obtained for the final energy is -13.98 eV/cell.

***

A geometry-optimized Sm5Hg2Ir2 structure. Source: the Open Quantum Materials Database, functional GGA-PBE.

Unit cell a=8.870 b=8.870 c=7.873 alpha=90.00 beta=90.00 gamma=50.95
Fractional positions:
Sm  0.951  0.291  0.172
Sm  0.549  0.209  0.672
Sm  0.000  0.000  0.500
Sm  0.209  0.549  0.328
Sm  0.500  0.500  0.000
Sm  0.291  0.951  0.828
Sm  0.709  0.049  0.172
Sm  0.791  0.451  0.672
Sm  0.451  0.791  0.328
Sm  0.049  0.709  0.828
Hg  0.786  0.786  0.500
Hg  0.714  0.714  0.000
Hg  0.214  0.214  0.500
Hg  0.286  0.286  0.000
Ir  0.629  0.371  0.369
Ir  0.871  0.129  0.869
Ir  0.129  0.871  0.131
Ir  0.371  0.629  0.631

Summary:
The calculated formation energy comes out at -605.9 meV/atom. Its size of the total moment is 0.0 μB/cell. The value obtained for the final energy is -94.63 eV/cell.

***

Which of these has the highest final energy?
Na4Mg2HgGe

***

Number 3 is which compound?
Sm5Hg2Ir2

***

The highest final energy belongs to which entry?
Na4Mg2HgGe